Here is CaPmRe2O8 after structural relaxation from Alexandria via LeMat-Bulk. Energies are from PBE-GGA.

The mass density comes out at 5.34 g/cm3. As for the space-group type: P-3m1, No. 164.

a b c (Å): 5.9846 5.9846 6.8774
angles (deg): 90.00 90.00 120.00
Site moments in Bohr magnetons follow the coordinates.
Fractional positions:
Ca: 0.0000 0.0000 0.0000  0.02
Pm: 0.0000 0.0000 0.5000  0.10
Re: 0.6667 0.3333 0.1826  0.97
Re: 0.3333 0.6667 0.8174  0.97
O: 0.3333 0.6667 0.0751  0.12
O: 0.3262 0.1631 0.2642  0.06
O: 0.8369 0.1631 0.2642  0.06
O: 0.6667 0.3333 0.9249  0.12
O: 0.1631 0.8369 0.7358  0.06
O: 0.6738 0.8369 0.7358  0.06
O: 0.1631 0.3262 0.7358  0.06
O: 0.8369 0.6738 0.2642  0.06

***

Here is Ca2PmReO6 after structural relaxation from Alexandria via LeMat-Bulk. Energies are from PBE-GGA.

The mass density comes out at 5.23 g/cm3. As for the space-group type: P4mm, No. 99.

a b c (Å): 5.1064 5.6154 5.6154
angles (deg): 90.00 90.00 90.00
Fractional positions:
Ca: 0.9798 0.5000 0.0000
Ca: 0.9798 0.0000 0.5000
Pm: 0.5794 0.5000 0.5000
Re: 0.5818 0.0000 0.0000
O: 0.7346 0.2277 0.2277
O: 0.7346 0.2277 0.7723
O: 0.1497 0.5000 0.5000
O: 0.2379 0.0000 0.0000
O: 0.7346 0.7723 0.7723
O: 0.7346 0.7723 0.2277

***

Here is Ca2PmRhO6 after structural relaxation from Alexandria via LeMat-Bulk. Energies are from PBE-GGA.

The mass density comes out at 5.18 g/cm3. As for the space-group type: P2_1/c, No. 14.

a b c (Å): 5.6553 5.8955 8.1496
angles (deg): 90.00 91.05 90.00
Site moments in Bohr magnetons follow the coordinates.
Fractional positions:
Ca: 0.0200 0.9418 0.2513  0.01
Ca: 0.5200 0.5582 0.7513  0.01
Ca: 0.9800 0.0582 0.7487  0.01
Ca: 0.4800 0.4418 0.2487  0.01
Pm: 0.5000 0.0000 0.0000  0.00
Pm: 0.0000 0.5000 0.5000  0.00
Rh: 0.5000 0.0000 0.5000  1.07
Rh: 0.0000 0.5000 0.0000  1.07
O: 0.2824 0.6836 0.0595  0.13
O: 0.7824 0.8164 0.5595  0.13
O: 0.7176 0.3164 0.9405  0.13
O: 0.2176 0.1836 0.4405  0.13
O: 0.3252 0.7195 0.4304  0.13
O: 0.8252 0.7805 0.9304  0.13
O: 0.6748 0.2805 0.5696  0.13
O: 0.1748 0.2195 0.0696  0.13
O: 0.8800 0.5520 0.2276  0.11
O: 0.3800 0.9480 0.7276  0.11
O: 0.1200 0.4480 0.7724  0.11
O: 0.6200 0.0520 0.2724  0.11

***

Here is CaPm2RuO6 after structural relaxation from Alexandria via LeMat-Bulk. Energies are from PBE-GGA.

The mass density comes out at 6.50 g/cm3. As for the space-group type: P2_1/c, No. 14.

a b c (Å): 5.5881 5.9413 8.1129
angles (deg): 90.00 90.75 90.00
Site moments in Bohr magnetons follow the coordinates.
Fractional positions:
Ca: 0.5000 0.0000 0.0000  0.00
Ca: 0.0000 0.5000 0.5000  0.00
Pm: 0.0232 0.9330 0.2515  0.01
Pm: 0.5232 0.5670 0.7515  0.01
Pm: 0.9768 0.0670 0.7485  0.01
Pm: 0.4768 0.4330 0.2485  0.01
Ru: 0.5000 0.0000 0.5000  1.44
Ru: 0.0000 0.5000 0.0000  1.44
O: 0.2936 0.6822 0.0596  0.08
O: 0.7936 0.8178 0.5596  0.08
O: 0.7064 0.3178 0.9404  0.08
O: 0.2064 0.1822 0.4404  0.08
O: 0.3263 0.7116 0.4280  0.06
O: 0.8263 0.7884 0.9280  0.06
O: 0.6737 0.2884 0.5720  0.06
O: 0.1737 0.2116 0.0720  0.06
O: 0.8714 0.5545 0.2308  0.06
O: 0.3714 0.9455 0.7308  0.06
O: 0.1286 0.4455 0.7692  0.06
O: 0.6286 0.0545 0.2692  0.06

***

Here is CaPmRuO6 after structural relaxation from Alexandria via LeMat-Bulk. Energies are from PBE-GGA.

The mass density comes out at 4.92 g/cm3. As for the space-group type: P-31c, No. 163.

a b c (Å): 5.6516 5.6516 9.3297
angles (deg): 90.00 90.00 120.00
Site moments in Bohr magnetons follow the coordinates.
Fractional positions:
Ca: 0.0000 0.0000 0.0000  0.01
Ca: 0.0000 0.0000 0.5000  0.01
Pm: 0.3333 0.6667 0.2500  0.02
Pm: 0.6667 0.3333 0.7500  0.02
Ru: 0.6667 0.3333 0.2500  0.67
Ru: 0.3333 0.6667 0.7500  0.67
O: 0.6714 0.6161 0.1345  0.04
O: 0.9447 0.3286 0.1345  0.04
O: 0.3286 0.9447 0.6345  0.04
O: 0.0553 0.6714 0.8655  0.04
O: 0.3839 0.3286 0.3655  0.04
O: 0.9447 0.6161 0.3655  0.04
O: 0.6161 0.9447 0.8655  0.04
O: 0.6714 0.0553 0.3655  0.04
O: 0.0553 0.3839 0.6345  0.04
O: 0.3839 0.0553 0.1345  0.04
O: 0.6161 0.6714 0.6345  0.04
O: 0.3286 0.3839 0.8655  0.04

***

Here is CaPmRu2O8 after structural relaxation from Alexandria via LeMat-Bulk. Energies are from PBE-GGA.

The mass density comes out at 4.06 g/cm3. As for the space-group type: P-3m1, No. 164.

a b c (Å): 5.9238 5.9238 6.9261
angles (deg): 90.00 90.00 120.00
Site moments in Bohr magnetons follow the coordinates.
Fractional positions:
Ca: 0.0000 0.0000 0.0000  0.01
Pm: 0.0000 0.0000 0.5000  0.02
Ru: 0.6667 0.3333 0.1834  0.82
Ru: 0.3333 0.6667 0.8166  0.82
O: 0.3333 0.6667 0.0703  0.21
O: 0.3251 0.1626 0.2644  0.10
O: 0.8374 0.1625 0.2644  0.10
O: 0.6667 0.3333 0.9297  0.21
O: 0.1626 0.8375 0.7356  0.10
O: 0.6749 0.8374 0.7356  0.10
O: 0.1625 0.3251 0.7356  0.10
O: 0.8375 0.6749 0.2644  0.10

***

Here is Ca2PmSbO6 after structural relaxation from Alexandria via LeMat-Bulk. Energies are from PBE-GGA.

The mass density comes out at 5.10 g/cm3. As for the space-group type: R3, No. 146.

a b c (Å): 5.7859 5.7859 5.9915
angles (deg): 61.13 61.13 60.00
Fractional positions:
Ca: 0.5360 0.5360 0.3921
Ca: 0.0311 0.0311 0.9068
Pm: 0.8097 0.8097 0.5708
Sb: 0.3188 0.3188 0.0436
O: 0.5725 0.1958 0.2512
O: 0.1958 0.9805 0.2512
O: 0.9805 0.5725 0.2512
O: 0.4343 0.6639 0.7828
O: 0.6639 0.1189 0.7828
O: 0.1189 0.4343 0.7828

***

Here is Ca4Pm2Sb3O2 after structural relaxation from Alexandria via LeMat-Bulk. Energies are from PBE-GGA.

The mass density comes out at 5.02 g/cm3. As for the space-group type: I4/mmm, No. 139.

a b c (Å): 4.6827 4.6827 13.2004
angles (deg): 100.22 100.22 90.00
Fractional positions:
Ca: 0.4169 0.9169 0.8337
Ca: 0.9169 0.4169 0.8337
Ca: 0.0831 0.5831 0.1663
Ca: 0.5831 0.0831 0.1663
Pm: 0.3063 0.3063 0.6127
Pm: 0.6937 0.6937 0.3873
Sb: 0.0000 0.0000 0.0000
Sb: 0.1787 0.1787 0.3573
Sb: 0.8213 0.8213 0.6427
O: 0.3982 0.3982 0.7964
O: 0.6018 0.6018 0.2036

***

Here is CaPmSb2O8 after structural relaxation from Alexandria via LeMat-Bulk. Energies are from PBE-GGA.

The mass density comes out at 5.64 g/cm3. As for the space-group type: I-4, No. 82.

a b c (Å): 5.3813 5.3813 6.8191
angles (deg): 113.24 113.24 90.00
Site moments in Bohr magnetons follow the coordinates.
Fractional positions:
Ca: 0.7500 0.2500 0.5000  0.00
Pm: 0.0000 0.0000 0.0000  -0.01
Sb: 0.5000 0.5000 0.0000  -0.01
Sb: 0.2500 0.7500 0.5000  -0.01
O: 0.7721 0.8324 0.1787  0.12
O: 0.4066 0.3464 0.1787  0.12
O: 0.5856 0.6615 0.6809  0.12
O: 0.0953 0.0193 0.6809  0.12
O: 0.9807 0.4144 0.3191  0.12
O: 0.3385 0.9047 0.3191  0.12
O: 0.1676 0.5934 0.8213  0.12
O: 0.6536 0.2279 0.8213  0.12

***

Here is Ca2PmSeO8 after structural relaxation from Alexandria via LeMat-Bulk. Energies are from PBE-GGA.

The mass density comes out at 4.65 g/cm3. As for the space-group type: P-3m1, No. 164.

a b c (Å): 5.3136 5.3136 6.3059
angles (deg): 90.00 90.00 120.00
Site moments in Bohr magnetons follow the coordinates.
Fractional positions:
Ca: 0.6667 0.3333 0.1156  0.02
Ca: 0.3333 0.6667 0.8844  0.02
Pm: 0.0000 0.0000 0.5000  -0.03
Se: 0.0000 0.0000 0.0000  0.00
O: 0.8419 0.6838 0.8293  0.09
O: 0.3162 0.1581 0.8293  0.09
O: 0.8419 0.1581 0.8293  0.09
O: 0.1581 0.3162 0.1707  0.09
O: 0.6838 0.8419 0.1707  0.09
O: 0.1581 0.8419 0.1707  0.09
O: 0.6667 0.3333 0.4752  0.93
O: 0.3333 0.6667 0.5248  0.93

***

Here is Ca2Pm4Sn3O2 after structural relaxation from Alexandria via LeMat-Bulk. Energies are from PBE-GGA.

The mass density comes out at 5.84 g/cm3. As for the space-group type: I4/mmm, No. 139.

a b c (Å): 4.8620 4.8620 13.0768
angles (deg): 100.71 100.71 90.00
Fractional positions:
Ca: 0.3033 0.3033 0.6067
Ca: 0.6967 0.6967 0.3933
Pm: 0.4131 0.9131 0.8262
Pm: 0.9131 0.4131 0.8262
Pm: 0.0869 0.5869 0.1738
Pm: 0.5869 0.0869 0.1738
Sn: 0.0000 0.0000 0.0000
Sn: 0.1741 0.1741 0.3483
Sn: 0.8259 0.8259 0.6517
O: 0.4009 0.4009 0.8017
O: 0.5991 0.5991 0.1983

***

Here is Sr2CaPmO4 after structural relaxation from Alexandria via LeMat-Bulk. Energies are from PBE-GGA.

The mass density comes out at 5.46 g/cm3. As for the space-group type: P2/m, No. 10.

a b c (Å): 3.5687 6.1692 6.2143
angles (deg): 109.26 90.00 90.00
Fractional positions:
Sr: 0.5000 0.0000 0.5000
Sr: 0.0000 0.5000 0.5000
Ca: 0.0000 0.0000 0.0000
Pm: 0.5000 0.5000 0.0000
O: 0.5000 0.2458 0.2305
O: 0.5000 0.7542 0.7695
O: 0.0000 0.2562 0.7692
O: 0.0000 0.7438 0.2308

***

Here is Ca2PmTcO6 after structural relaxation from Alexandria via LeMat-Bulk. Energies are from PBE-GGA.

The mass density comes out at 4.34 g/cm3. As for the space-group type: P4mm, No. 99.

a b c (Å): 5.1083 5.6052 5.6052
angles (deg): 90.00 90.00 90.00
Fractional positions:
Ca: 0.9777 0.5000 0.0000
Ca: 0.9777 0.0000 0.5000
Pm: 0.5775 0.5000 0.5000
Tc: 0.5840 0.0000 0.0000
O: 0.7345 0.2278 0.2278
O: 0.7345 0.2278 0.7722
O: 0.1485 0.5000 0.5000
O: 0.2436 0.0000 0.0000
O: 0.7345 0.7722 0.7722
O: 0.7345 0.7722 0.2278

***

Here is CaPm2TcO8 after structural relaxation from Alexandria via LeMat-Bulk. Energies are from PBE-GGA.

The mass density comes out at 5.86 g/cm3. As for the space-group type: P-1, No. 2.

a b c (Å): 5.0887 4.5123 7.0555
angles (deg): 76.65 90.62 88.25
Site moments in Bohr magnetons follow the coordinates.
Fractional positions:
Ca: 0.0000 0.0000 0.5000  0.00
Pm: 0.5090 0.3881 0.7846  0.00
Pm: 0.4910 0.6119 0.2154  0.00
Tc: 0.0000 0.0000 0.0000  0.18
O: 0.9929 0.7036 0.2527  0.01
O: 0.6976 0.8389 0.9000  0.01
O: 0.7836 0.2564 0.1024  -0.01
O: 0.0071 0.2964 0.7473  0.01
O: 0.3024 0.1611 0.1000  0.01
O: 0.2164 0.7436 0.8976  -0.01
O: 0.4936 0.7722 0.5024  0.00
O: 0.5064 0.2278 0.4976  0.00

***

Here is CaPm2TeO8 after structural relaxation from Alexandria via LeMat-Bulk. Energies are from PBE-GGA.

The mass density comes out at 5.77 g/cm3. As for the space-group type: P2/m, No. 10.

a b c (Å): 4.3595 5.2237 7.4284
angles (deg): 89.99 90.00 95.04
Site moments in Bohr magnetons follow the coordinates.
Fractional positions:
Ca: 0.0000 0.0000 0.5000  0.00
Pm: 0.4999 0.5000 0.7526  0.00
Pm: 0.5001 0.5000 0.2474  0.00
Te: 0.0000 0.0000 0.0000  -0.02
O: 0.0613 0.7584 0.1975  0.07
O: 0.5917 0.8141 0.0000  0.35
O: 0.9386 0.2414 0.1977  0.07
O: 0.9387 0.2416 0.8025  0.07
O: 0.4083 0.1859 0.0000  0.35
O: 0.0614 0.7586 0.8023  0.07
O: 0.5229 0.7522 0.5000  0.25
O: 0.4771 0.2478 0.5000  0.25

***

Here is CaPm2TiO6 after structural relaxation from Alexandria via LeMat-Bulk. Energies are from PBE-GGA.

The mass density comes out at 5.15 g/cm3. As for the space-group type: P4mm, No. 99.

a b c (Å): 5.1953 5.4229 5.4229
angles (deg): 90.00 90.00 90.00
Fractional positions:
Ca: 0.5587 0.5000 0.5000
Pm: 0.9870 0.5000 0.0000
Pm: 0.9870 0.0000 0.5000
Ti: 0.5971 0.0000 0.0000
O: 0.7344 0.2330 0.2330
O: 0.7344 0.2330 0.7670
O: 0.1355 0.5000 0.5000
O: 0.2439 0.0000 0.0000
O: 0.7344 0.7670 0.7670
O: 0.7344 0.7670 0.2330

***

Here is CaPm2TlO after structural relaxation from Alexandria via LeMat-Bulk. Energies are from PBE-GGA.

The mass density comes out at 7.66 g/cm3. As for the space-group type: P4/mmm, No. 123.

a b c (Å): 4.8647 4.9518 4.9518
angles (deg): 90.00 90.00 90.00
Fractional positions:
Ca: 0.5000 0.0000 0.0000
Pm: 0.0000 0.0000 0.5000
Pm: 0.0000 0.5000 0.0000
Tl: 0.5000 0.5000 0.5000
O: 0.0000 0.0000 0.0000

***

Here is CaPm2TlO6 after structural relaxation from Alexandria via LeMat-Bulk. Energies are from PBE-GGA.

The mass density comes out at 6.60 g/cm3. As for the space-group type: R3, No. 146.

a b c (Å): 5.9516 5.9515 6.2101
angles (deg): 61.37 61.37 60.00
Site moments in Bohr magnetons follow the coordinates.
Fractional positions:
Ca: 0.8071 0.8071 0.5788  0.00
Pm: 0.5262 0.5263 0.4213  -0.01
Pm: 0.0260 0.0260 0.9219  0.00
Tl: 0.3104 0.3104 0.0689  0.01
O: 0.6126 0.2007 0.2546  0.14
O: 0.2008 0.9321 0.2546  0.14
O: 0.9321 0.6126 0.2546  0.14
O: 0.4171 0.7018 0.7535  0.17
O: 0.7018 0.1275 0.7536  0.17
O: 0.1275 0.4171 0.7535  0.17

***

Here is CaPm2UO8 after structural relaxation from Alexandria via LeMat-Bulk. Energies are from PBE-GGA.

The mass density comes out at 6.92 g/cm3. As for the space-group type: Pmmm, No. 47.

a b c (Å): 3.9885 5.3865 7.7754
angles (deg): 90.00 90.00 90.01
Site moments in Bohr magnetons follow the coordinates.
Fractional positions:
Ca: 0.0000 0.0000 0.5000  0.00
Pm: 0.5000 0.5000 0.7520  -0.01
Pm: 0.5000 0.5000 0.2480  -0.01
U: 0.0000 0.0000 0.0000  -0.11
O: 0.0001 0.7600 0.2152  0.14
O: 0.5001 0.7752 0.0000  0.18
O: 0.9999 0.2399 0.2153  0.14
O: 0.9999 0.2400 0.7848  0.14
O: 0.4999 0.2248 0.0000  0.18
O: 0.0001 0.7601 0.7847  0.14
O: 0.5000 0.7471 0.5000  0.42
O: 0.5000 0.2529 0.5000  0.42

***

Here is CaPmUO6 after structural relaxation from Alexandria via LeMat-Bulk. Energies are from PBE-GGA.

The mass density comes out at 6.04 g/cm3. As for the space-group type: P4_2nm, No. 102.

a b c (Å): 5.1852 5.1852 10.6203
angles (deg): 90.00 90.00 90.00
Site moments in Bohr magnetons follow the coordinates.
Fractional positions:
Ca: 0.5000 0.5000 0.4999  0.00
Ca: 0.0000 0.0000 0.9998  0.00
Pm: 0.5000 0.5000 0.1679  0.00
Pm: 0.0000 0.0000 0.6680  0.00
U: 0.5000 0.5000 0.8335  0.02
U: 0.0000 0.0000 0.3335  0.02
O: 0.1814 0.8186 0.4827  0.09
O: 0.8186 0.1814 0.4827  0.09
O: 0.3186 0.3186 0.9827  0.09
O: 0.6814 0.6814 0.9827  0.09
O: 0.1831 0.8169 0.1847  0.09
O: 0.8169 0.1831 0.1847  0.09
O: 0.3169 0.3169 0.6847  0.09
O: 0.6831 0.6831 0.6847  0.09
O: 0.7832 0.2168 0.8319  0.10
O: 0.2168 0.7832 0.8319  0.10
O: 0.7168 0.7168 0.3319  0.10
O: 0.2832 0.2832 0.3319  0.10

***

Which ΔE_f (raw) belongs to each record? In order, -2.01; -2.41; -2.23; -2.57; -1.91; -1.60; -2.63; -1.75; -1.99; -1.56; -1.48; -2.76; -2.40; -2.27; -2.13; -3.11; -1.36; -2.35; -2.91; -2.98 eV/atom.
Which total magnetic moment belongs to each record? In order, 3.0; 0.0; 2.0; 2.0; 1.0; 3.0; 0.0; 0.0; 1.1; 2.9; 0.0; 0.0; 0.0; 0.2; 1.7; 0.0; 0.0; 1.1; 2.0; 0.7 μB per formula unit.
Which total energy belongs to each record? In order, -7.955; -7.503; -6.818; -7.622; -6.997; -7.014; -6.891; -5.369; -6.548; -5.887; -5.563; -6.501; -7.290; -7.396; -6.657; -8.026; -5.128; -6.707; -8.111; -8.289 eV per atom.